This record from Alexandria describes crystalline Ca2Ac2PrY at its relaxed geometry. The functional is GGA-PBE.

Uncorrected energy ... -0.142 Ha/atom
DOS at the Fermi energy ... 17.08 states/eV/cell

Cell and atoms, written as CIF:
```
data_Ca2Ac2PrY
_symmetry_space_group_name_H-M 'P m c 21'
_symmetry_Int_Tables_number 26
_symmetry_space_group_name_Hall 'P 2c -2'
_cell_length_a 5.3807
_cell_length_b 11.6012
_cell_length_c 7.7250
_cell_angle_alpha 90.00
_cell_angle_beta 90.00
_cell_angle_gamma 90.00
loop_
_atom_site_label
_atom_site_type_symbol
_atom_site_fract_x
_atom_site_fract_y
_atom_site_fract_z
_atom_site_occupancy
Ca1 Ca 0.0000 0.0026 0.0000 1
Ca2 Ca 0.5000 0.1704 0.7545 1
Ac1 Ac 0.0000 0.3438 0.5022 1
Ac2 Ac 0.5000 0.1826 0.2489 1
Pr1 Pr 0.0000 0.3447 0.0176 1
Y1 Y 0.5000 0.4997 0.2609 1
```